VASP calculation (PBE) on a relaxed CdRuAu2 crystal.

It has space group R-3m (No. 166, hexagonal axes), with a = 2.9086 Å, b = 2.9086 Å, c = 28.6701 Å, α = 90.00°, β = 90.00° and γ = 120.00°. Symmetry generates all atoms from Cd at (0.0000, 0.0000, 0.0000), Ru at (0.0000, 0.0000, 0.5000) and Au at (0.0000, 0.0000, 0.2463).

Its formation energy is 0.23 eV per atom. The value obtained for the electronic total energy is -3.959 eV per atom. The magnetic moment is 2.36 Bohr magnetons per cell.

***

VASP calculation (PBE) on a relaxed Ce5Tc2Sn2 crystal.

It has space group Cmce (No. 64), with a = 15.528 Å, b = 7.741 Å, c = 7.825 Å, α = 90.00°, β = 90.00° and γ = 90.00°. Symmetry generates all atoms from Ce at (0.000, 0.000, 0.000), Ce at (0.118, 0.171, 0.329), Tc at (0.000, 0.136, 0.638) and Sn at (0.215, 0.000, 0.000).

Its formation energy is -0.27 eV per atom. The value obtained for the electronic total energy is -6.764 eV per atom. The magnetic moment is 0.00 Bohr magnetons per cell.

***

VASP calculation (PBE) on a relaxed CaEuMgHg crystal.

It has space group F-43m (No. 216), with a = 7.793 Å, b = 7.793 Å, c = 7.793 Å, α = 90.00°, β = 90.00° and γ = 90.00°. Symmetry generates all atoms from Ca at (0.000, 0.000, 0.000), Eu at (0.000, 0.000, 0.500), Mg at (0.250, 0.250, 0.750) and Hg at (0.250, 0.250, 0.250).

Its formation energy is -0.30 eV per atom. The value obtained for the electronic total energy is -3.840 eV per atom. The magnetic moment is 29.57 Bohr magnetons per cell.

***

VASP calculation (PBE) on a relaxed CrBi2Pt crystal.

It has space group Fm-3m (No. 225), with a = 6.932 Å, b = 6.932 Å, c = 6.932 Å, α = 90.00°, β = 90.00° and γ = 90.00°. Symmetry generates all atoms from Cr at (0.000, 0.000, 0.000), Bi at (0.250, 0.250, 0.250) and Pt at (0.000, 0.000, 0.500).

The calculation puts the energy above the most stable polymorph in this dataset at 0.257 eV/atom. Its formation energy is 0.59 eV per atom. The value obtained for the electronic total energy is -5.269 eV per atom. The magnetic moment is 0.00 Bohr magnetons per cell.